[1]
This record from the Alexandria database describes a relaxed structure of Zn2Cd2Pd. The functional is GGA-PBE.

a = 6.717 Å, b = 6.717 Å, c = 4.021 Å
α = 90.00°, β = 90.00°, γ = 90.00°
Sites, in units of the cell vectors:
Zn: 0.134 0.366 0.000
Zn: 0.866 0.634 0.000
Zn: 0.634 0.134 0.000
Zn: 0.366 0.866 0.000
Pd: 0.000 0.000 0.000
Pd: 0.500 0.500 0.000
Cd: 0.171 0.671 0.500
Cd: 0.671 0.829 0.500
Cd: 0.829 0.329 0.500
Cd: 0.329 0.171 0.500

Space-group type: P4/mbm, No. 127

---

[2]
This record from the Alexandria database describes a relaxed structure of AlGa3Pb. The functional is GGA-PBE.

a = 5.505 Å, b = 5.505 Å, c = 5.505 Å
α = 90.00°, β = 90.00°, γ = 90.00°
Sites, in units of the cell vectors:
Al: 0.500 0.500 0.500
Ga: 0.000 0.000 0.500
Ga: 0.000 0.500 0.000
Ga: 0.500 0.000 0.000
Pb: 0.000 0.000 0.000

Space-group type: Pm-3m, No. 221

---

[3]
This record from the Alexandria database describes a relaxed structure of CeMg6V. The functional is GGA-PBE.

a = 6.691 Å, b = 6.691 Å, c = 5.150 Å
α = 90.00°, β = 90.00°, γ = 126.90°
Site moments in Bohr magnetons follow the coordinates.
Sites, in units of the cell vectors:
Mg: 0.159 0.841 0.000  0.01
Mg: 0.322 0.180 0.500  -0.01
Mg: 0.696 0.304 0.000  0.00
Mg: 0.820 0.678 0.500  -0.01
Mg: 0.170 0.322 0.000  -0.01
Mg: 0.678 0.830 0.000  -0.01
Ce: 0.317 0.683 0.500  0.80
V: 0.838 0.162 0.500  2.41

Space-group type: Amm2, No. 38

---

Which energy of formation belongs to each record? In order, -0.3 4.1 1.6 eV/f.u..
Which size of the total moment belongs to each record? In order, 0.0 0.0 3.9 μB/f.u..
Which energy belongs to each record? In order, -19.69 -12.40 -23.00 eV per cell.